VASP calculation (PBE-GGA) on an optimized crystal structure of Mn2W2Cl.

The structure belongs to space group I4/mmm (No. 139); the cell edges are 3.588, 3.588 and 13.868 Å and the angles 90.00°, 90.00° and 90.00°. The asymmetric unit holds Mn at (0.000, 0.500, 0.250), W at (0.000, 0.000, 0.139) and Cl at (0.000, 0.000, 0.500).

The value obtained for the energy relative to the elements, uncorrected is 0.735 eV/atom.